An optimized crystal structure of TaNiPdPb, computed with PBE-GGA.

The structure in POSCAR format:
```
TaNiPdPb
1.0
6.488 0.000 0.000
0.000 6.488 0.000
0.000 0.000 6.488
Ta Ni Pd Pb
4 4 4 4
Direct
0.000 0.000 0.000 Ta
0.000 0.500 0.500 Ta
0.500 0.000 0.500 Ta
0.500 0.500 0.000 Ta
0.000 0.000 0.500 Ni
0.000 0.500 0.000 Ni
0.500 0.000 0.000 Ni
0.500 0.500 0.500 Ni
0.250 0.250 0.750 Pd
0.250 0.750 0.250 Pd
0.750 0.250 0.250 Pd
0.750 0.750 0.750 Pd
0.250 0.250 0.250 Pb
0.250 0.750 0.750 Pb
0.750 0.250 0.750 Pb
0.750 0.750 0.250 Pb
```

Calculated values
As for the total moment: 0.0 μB per cell. The value obtained for the energy above the most stable polymorph in this dataset is 46 kJ/mol of formula units. The electronic total energy is -101.32 eV/cell.

An optimized crystal structure of HfCuAgSb, computed with PBE-GGA.

The structure in POSCAR format:
```
HfCuAgSb
1.0
6.753 0.000 0.000
0.000 6.753 0.000
0.000 0.000 6.753
Hf Cu Ag Sb
4 4 4 4
Direct
0.000 0.000 0.000 Hf
0.000 0.500 0.500 Hf
0.500 0.000 0.500 Hf
0.500 0.500 0.000 Hf
0.250 0.250 0.750 Cu
0.250 0.750 0.250 Cu
0.750 0.250 0.250 Cu
0.750 0.750 0.750 Cu
0.250 0.250 0.250 Ag
0.250 0.750 0.750 Ag
0.750 0.250 0.750 Ag
0.750 0.750 0.250 Ag
0.000 0.000 0.500 Sb
0.000 0.500 0.000 Sb
0.500 0.000 0.000 Sb
0.500 0.500 0.500 Sb
```

Calculated values
As for the total moment: 0.0 μB per cell. The value obtained for the energy above the most stable polymorph in this dataset is 30 kJ/mol of formula units. The electronic total energy is -79.51 eV/cell.